CrIn2P2, relaxed, DFT PBE-GGA; magnetization = 0.22 μB/f.u.; SG = I4/mmm (139); E_form = 4.2 eV per formula unit; E = -4.353 eV per atom
1.0
-0.561 3.775 0.509
-2.925 -0.756 2.387
2.822 1.436 7.018
In P Cr
2 2 1
direct
0.750 0.250 0.500
0.250 0.750 0.500
0.574 0.574 0.852
0.426 0.426 0.148
0.000 0.000 0.000